No. 1
Entry from the Alexandria database: a geometry-optimized LiThZn2In structure (PBE).

Results
Electronic total energy = -3.155 eV per atom
Total moment = 0.0 μB per cell
Calculated formation energy = -231 meV/atom
Calculated volume = 20.97 Å³/atom
Space-group type = No. 119

a b c (Å): 4.292 4.292 6.449
angles (deg): 109.44 109.44 90.00
Atoms (fractional coordinates):
Li1 0.750 0.250 0.500
Th1 0.000 0.000 0.000
Zn1 0.607 0.607 0.214
Zn2 0.393 0.393 0.786
In1 0.250 0.750 0.500

No. 2
Entry from the Alexandria database: a geometry-optimized LiThZnIn structure (PBE).

Results
Electronic total energy = -3.496 eV per atom
Total moment = 0.0 μB per cell
Calculated formation energy = -159 meV/atom
Calculated volume = 23.66 Å³/atom
Space-group type = No. 216

a b c (Å): 5.115 5.115 5.115
angles (deg): 60.00 60.00 60.00
Atoms (fractional coordinates):
Zn1 0.000 0.000 0.000
Li1 0.250 0.250 0.250
Th1 0.750 0.750 0.750
In1 0.500 0.500 0.500

No. 3
Entry from the Alexandria database: a geometry-optimized Li4TiIn5 structure (PBE).

Results
Electronic total energy = -3.168 eV per atom
Total moment = 0.0 μB per cell
Calculated formation energy = -244 meV/atom
Calculated volume = 19.39 Å³/atom
Space-group type = No. 123

a b c (Å): 3.203 3.203 18.901
angles (deg): 90.00 90.00 90.00
Atoms (fractional coordinates):
Li1 0.000 0.000 0.199
Li2 0.000 0.000 0.396
Li3 0.000 0.000 0.604
Li4 0.000 0.000 0.801
Ti1 0.000 0.000 0.000
In1 0.500 0.500 0.102
In2 0.500 0.500 0.296
In3 0.500 0.500 0.500
In4 0.500 0.500 0.704
In5 0.500 0.500 0.898

No. 4
Entry from the Alexandria database: a geometry-optimized LiTi2In structure (PBE).

Results
Electronic total energy = -4.776 eV per atom
Total moment = 0.0 μB per cell
Calculated formation energy = 334 meV/atom
Calculated volume = 18.18 Å³/atom
Space-group type = No. 122

a b c (Å): 7.558 7.558 5.920
angles (deg): 50.33 50.33 90.00
Atoms (fractional coordinates):
Ti1 0.611 0.125 0.250
Ti2 0.139 0.625 0.250
Ti3 0.375 0.389 0.750
Ti4 0.875 0.861 0.750
Li1 0.500 0.500 0.000
Li2 0.250 0.750 0.500
In1 0.000 0.000 0.000
In2 0.750 0.250 0.500

No. 5
Entry from the Alexandria database: a geometry-optimized LiTi4In5 structure (PBE).

Results
Electronic total energy = -4.882 eV per atom
Total moment = 0.0 μB per cell
Calculated formation energy = -164 meV/atom
Calculated volume = 19.17 Å³/atom
Space-group type = No. 123

a b c (Å): 3.034 3.034 20.820
angles (deg): 90.00 90.00 90.00
Atoms (fractional coordinates):
Li1 0.000 0.000 0.000
Ti1 0.000 0.000 0.197
Ti2 0.000 0.000 0.399
Ti3 0.000 0.000 0.601
Ti4 0.000 0.000 0.803
In1 0.500 0.500 0.098
In2 0.500 0.500 0.298
In3 0.500 0.500 0.500
In4 0.500 0.500 0.702
In5 0.500 0.500 0.902

No. 6
Entry from the Alexandria database: a geometry-optimized LiTi2In6 structure (PBE).

Results
Electronic total energy = -3.684 eV per atom
Total moment = 0.0 μB per cell
Calculated formation energy = 108 meV/atom
Calculated volume = 24.00 Å³/atom
Space-group type = No. 12

a b c (Å): 4.376 6.877 8.253
angles (deg): 114.62 105.33 90.00
Atoms (fractional coordinates):
Li1 0.000 0.000 0.000
Ti1 0.668 0.669 0.337
Ti2 0.332 0.331 0.663
In1 0.162 0.392 0.326
In2 0.838 0.066 0.674
In3 0.838 0.608 0.674
In4 0.500 0.271 0.000
In5 0.162 0.934 0.326
In6 0.500 0.729 0.000

No. 7
Entry from the Alexandria database: a geometry-optimized Li2TiIn2 structure (PBE).

Results
Electronic total energy = -3.532 eV per atom
Total moment = 0.0 μB per cell
Calculated formation energy = -92 meV/atom
Polymorph energy (0 for the lowest one) = 0 meV per atom
Calculated volume = 17.85 Å³/atom
Space-group type = No. 127

a b c (Å): 7.776 7.776 2.952
angles (deg): 90.00 90.00 90.00
Atoms (fractional coordinates):
Ti1 0.000 0.000 0.000
Ti2 0.500 0.500 0.000
Li1 0.385 0.885 0.000
Li2 0.885 0.615 0.000
Li3 0.615 0.115 0.000
Li4 0.115 0.385 0.000
In1 0.184 0.684 0.500
In2 0.684 0.816 0.500
In3 0.816 0.316 0.500
In4 0.316 0.184 0.500

No. 8
Entry from the Alexandria database: a geometry-optimized Li2TiIn2 structure (PBE).

Results
Electronic total energy = -3.446 eV per atom
Total moment = 3.6 μB per cell
Calculated formation energy = -6 meV/atom
Polymorph energy (0 for the lowest one) = 86 meV per atom
Calculated volume = 19.31 Å³/atom
Space-group type = No. 127

a b c (Å): 7.846 7.846 3.138
angles (deg): 90.00 90.00 90.00
Atoms (fractional coordinates):
Ti1 0.000 0.000 0.000
Ti2 0.500 0.500 0.000
Li1 0.159 0.659 0.500
Li2 0.659 0.841 0.500
Li3 0.841 0.341 0.500
Li4 0.341 0.159 0.500
In1 0.357 0.857 0.000
In2 0.857 0.643 0.000
In3 0.643 0.143 0.000
In4 0.143 0.357 0.000

No. 9
Entry from the Alexandria database: a geometry-optimized Li2TiIn structure (PBE).

Results
Electronic total energy = -3.298 eV per atom
Total moment = 2.7 μB per cell
Calculated formation energy = 317 meV/atom
Calculated volume = 19.28 Å³/atom
Space-group type = No. 122

a b c (Å): 7.382 7.382 5.938
angles (deg): 51.57 51.57 90.00
Atoms (fractional coordinates):
Ti1 0.500 0.500 0.000
Ti2 0.250 0.750 0.500
Li1 0.632 0.125 0.250
Li2 0.118 0.625 0.250
Li3 0.375 0.368 0.750
Li4 0.875 0.882 0.750
In1 0.000 0.000 0.000
In2 0.750 0.250 0.500

No. 10
Entry from the Alexandria database: a geometry-optimized Li3Tl2In2 structure (PBE).

Results
Electronic total energy = -2.456 eV per atom
Total moment = 0.0 μB per cell
Calculated formation energy = -177 meV/atom
Calculated volume = 22.00 Å³/atom
Space-group type = No. 12

a b c (Å): 4.720 7.648 4.744
angles (deg): 71.94 90.00 107.97
Atoms (fractional coordinates):
Li1 0.000 0.000 0.000
Li2 0.755 0.510 0.245
Li3 0.245 0.490 0.755
Tl1 0.620 0.240 0.879
Tl2 0.380 0.760 0.121
In1 0.885 0.771 0.615
In2 0.115 0.229 0.385

No. 11
Entry from the Alexandria database: a geometry-optimized LiTlIn3 structure (PBE).

Results
Electronic total energy = -2.400 eV per atom
Total moment = 0.0 μB per cell
Calculated formation energy = 99 meV/atom
Polymorph energy (0 for the lowest one) = 89 meV per atom
Calculated volume = 27.32 Å³/atom
Space-group type = No. 221

a b c (Å): 5.150 5.150 5.150
angles (deg): 90.00 90.00 90.00
Atoms (fractional coordinates):
Tl1 0.500 0.500 0.500
Li1 0.000 0.000 0.000
In1 0.000 0.500 0.000
In2 0.000 0.000 0.500
In3 0.500 0.000 0.000

No. 12
Entry from the Alexandria database: a geometry-optimized Li3TlIn5 structure (PBE).

Results
Electronic total energy = -2.549 eV per atom
Total moment = 0.0 μB per cell
Calculated formation energy = -126 meV/atom
Calculated volume = 23.36 Å³/atom
Space-group type = No. 193

a b c (Å): 6.411 8.702 8.703
angles (deg): 120.00 90.00 90.00
Atoms (fractional coordinates):
Li1 0.750 0.324 0.324
Li2 0.750 0.000 0.676
Li3 0.750 0.676 0.000
Li4 0.250 0.676 0.676
Li5 0.250 0.000 0.324
Li6 0.250 0.324 0.000
Tl1 0.000 0.000 0.000
Tl2 0.500 0.000 0.000
In1 0.000 0.667 0.333
In2 0.500 0.333 0.667
In3 0.000 0.333 0.667
In4 0.500 0.667 0.333
In5 0.750 0.655 0.656
In6 0.750 0.000 0.344
In7 0.750 0.344 0.000
In8 0.250 0.345 0.344
In9 0.250 0.000 0.656
In10 0.250 0.656 0.000

No. 13
Entry from the Alexandria database: a geometry-optimized LiTlIn2 structure (PBE).

Results
Electronic total energy = -2.514 eV per atom
Total moment = 0.0 μB per cell
Calculated formation energy = -75 meV/atom
Calculated volume = 24.91 Å³/atom
Space-group type = No. 166

a b c (Å): 10.046 10.046 10.046
angles (deg): 19.59 19.59 19.59
Atoms (fractional coordinates):
Tl1 0.750 0.750 0.750
Li1 0.250 0.250 0.250
In1 0.993 0.993 0.993
In2 0.507 0.507 0.507

No. 14
Entry from the Alexandria database: a geometry-optimized LiTlIn2 structure (PBE).

Results
Electronic total energy = -2.518 eV per atom
Total moment = 0.0 μB per cell
Calculated formation energy = -78 meV/atom
Calculated volume = 25.08 Å³/atom
Space-group type = No. 44

a b c (Å): 5.966 5.966 5.966
angles (deg): 142.55 128.02 65.81
Atoms (fractional coordinates):
Tl1 0.268 0.768 0.500
Li1 0.501 0.501 0.000
In1 0.998 0.998 0.000
In2 0.733 0.233 0.500

No. 15
Entry from the Alexandria database: a geometry-optimized LiTl2In2 structure (PBE).

Results
Electronic total energy = -2.371 eV per atom
Total moment = 0.0 μB per cell
Calculated formation energy = 54 meV/atom
Polymorph energy (0 for the lowest one) = 104 meV per atom
Calculated volume = 29.40 Å³/atom
Space-group type = No. 139

a b c (Å): 4.244 4.244 8.698
angles (deg): 75.88 75.88 90.00
Atoms (fractional coordinates):
Tl1 0.403 0.403 0.194
Tl2 0.597 0.597 0.806
Li1 0.000 0.000 0.000
In1 0.750 0.250 0.500
In2 0.250 0.750 0.500

No. 16
Entry from the Alexandria database: a geometry-optimized LiTl4In2 structure (PBE).

Results
Electronic total energy = -2.414 eV per atom
Total moment = 0.0 μB per cell
Calculated formation energy = -6 meV/atom
Calculated volume = 28.65 Å³/atom
Space-group type = No. 65

a b c (Å): 4.827 6.447 6.447
angles (deg): 88.66 90.00 90.00
Atoms (fractional coordinates):
Li1 0.000 0.000 0.000
Tl1 0.000 0.000 0.500
Tl2 0.000 0.500 0.000
Tl3 0.500 0.315 0.685
Tl4 0.500 0.685 0.315
In1 0.500 0.190 0.190
In2 0.500 0.810 0.810

No. 17
Entry from the Alexandria database: a geometry-optimized LiTl2In2 structure (PBE).

Results
Electronic total energy = -2.329 eV per atom
Total moment = 0.0 μB per cell
Calculated formation energy = 95 meV/atom
Polymorph energy (0 for the lowest one) = 145 meV per atom
Calculated volume = 31.09 Å³/atom
Space-group type = No. 139

a b c (Å): 4.821 4.821 7.507
angles (deg): 71.27 71.27 90.00
Atoms (fractional coordinates):
Tl1 0.750 0.250 0.500
Tl2 0.250 0.750 0.500
Li1 0.000 0.000 0.000
In1 0.395 0.395 0.211
In2 0.605 0.605 0.789

No. 18
Entry from the Alexandria database: a geometry-optimized Li5TlIn6 structure (PBE).

Results
Electronic total energy = -2.562 eV per atom
Total moment = 0.0 μB per cell
Calculated formation energy = -199 meV/atom
Calculated volume = 21.79 Å³/atom
Space-group type = No. 10

a b c (Å): 4.417 8.736 7.135
angles (deg): 90.00 71.69 90.00
Atoms (fractional coordinates):
Tl1 0.000 0.000 0.000
Li1 0.666 0.500 0.667
Li2 0.336 0.000 0.328
Li3 0.000 0.500 0.000
Li4 0.664 0.000 0.672
Li5 0.334 0.500 0.333
In1 0.831 0.739 0.340
In2 0.831 0.261 0.340
In3 0.500 0.276 0.000
In4 0.500 0.724 0.000
In5 0.169 0.739 0.660
In6 0.169 0.261 0.660

No. 19
Entry from the Alexandria database: a geometry-optimized LiTl6In3 structure (PBE).

Results
Electronic total energy = -2.448 eV per atom
Total moment = 0.0 μB per cell
Calculated formation energy = -15 meV/atom
Polymorph energy (0 for the lowest one) = 0 meV per atom
Calculated volume = 28.28 Å³/atom
Space-group type = No. 11

a b c (Å): 5.606 8.478 12.510
angles (deg): 107.94 90.00 90.00
Atoms (fractional coordinates):
Li1 0.750 0.596 0.575
Li2 0.250 0.404 0.425
Tl1 0.750 0.583 0.083
Tl2 0.250 0.417 0.917
Tl3 0.750 0.013 0.163
Tl4 0.250 0.987 0.837
Tl5 0.750 0.957 0.665
Tl6 0.250 0.043 0.335
Tl7 0.750 0.226 0.486
Tl8 0.250 0.774 0.514
Tl9 0.750 0.432 0.303
Tl10 0.250 0.568 0.697
Tl11 0.750 0.756 0.867
Tl12 0.250 0.244 0.133
In1 0.750 0.832 0.376
In2 0.250 0.168 0.624
In3 0.750 0.358 0.757
In4 0.250 0.642 0.243
In5 0.750 0.183 0.953
In6 0.250 0.817 0.047

No. 20
Entry from the Alexandria database: a geometry-optimized Li6Tl3In structure (PBE).

Results
Electronic total energy = -2.374 eV per atom
Total moment = 0.0 μB per cell
Calculated formation energy = -242 meV/atom
Calculated volume = 19.75 Å³/atom
Space-group type = No. 11

a b c (Å): 4.795 8.362 10.232
angles (deg): 105.68 90.00 90.00
Atoms (fractional coordinates):
Li1 0.250 0.453 0.097
Li2 0.750 0.547 0.903
Li3 0.250 0.146 0.196
Li4 0.750 0.854 0.804
Li5 0.250 0.653 0.700
Li6 0.750 0.347 0.300
Li7 0.250 0.250 0.503
Li8 0.750 0.750 0.496
Li9 0.250 0.847 0.299
Li10 0.750 0.153 0.701
Li11 0.250 0.054 0.890
Li12 0.750 0.946 0.110
Tl1 0.250 0.541 0.398
Tl2 0.750 0.459 0.602
Tl3 0.250 0.352 0.804
Tl4 0.750 0.648 0.196
Tl5 0.250 0.771 0.994
Tl6 0.750 0.229 0.006
In1 0.250 0.946 0.595
In2 0.750 0.054 0.405

No. 21
Entry from the Alexandria database: a geometry-optimized Li2TlIn8 structure (PBE).

Results
Electronic total energy = -2.577 eV per atom
Total moment = 0.0 μB per cell
Calculated formation energy = -22 meV/atom
Polymorph energy (0 for the lowest one) = 30 meV per atom
Calculated volume = 25.82 Å³/atom
Space-group type = No. 12

a b c (Å): 5.672 8.107 7.572
angles (deg): 57.63 82.02 74.97
Atoms (fractional coordinates):
Li1 0.000 0.307 0.387
Li2 0.000 0.693 0.613
Tl1 0.500 0.000 0.000
In1 0.878 0.078 0.239
In2 0.878 0.318 0.761
In3 0.296 0.402 0.000
In4 0.500 0.746 0.509
In5 0.500 0.254 0.491
In6 0.704 0.598 0.000
In7 0.122 0.682 0.239
In8 0.122 0.922 0.761

No. 22
Entry from the Alexandria database: a geometry-optimized Li2Tl3In3 structure (PBE).

Results
Electronic total energy = -2.471 eV per atom
Total moment = 0.0 μB per cell
Calculated formation energy = -78 meV/atom
Calculated volume = 25.20 Å³/atom
Space-group type = No. 189

a b c (Å): 3.487 8.170 8.170
angles (deg): 120.00 90.00 90.00
Atoms (fractional coordinates):
Li1 0.000 0.333 0.667
Li2 0.000 0.667 0.333
Tl1 0.500 0.418 0.418
Tl2 0.500 0.582 0.000
Tl3 0.500 0.000 0.582
In1 0.000 0.775 0.775
In2 0.000 0.225 0.000
In3 0.000 0.000 0.225

No. 23
Entry from the Alexandria database: a geometry-optimized Li8Tl5In structure (PBE).

Results
Electronic total energy = -2.283 eV per atom
Total moment = 0.0 μB per cell
Calculated formation energy = -149 meV/atom
Calculated volume = 21.24 Å³/atom
Space-group type = No. 82

a b c (Å): 7.286 7.286 7.286
angles (deg): 110.53 107.38 110.53
Atoms (fractional coordinates):
Li1 0.142 0.733 0.066
Li2 0.934 0.076 0.667
Li3 0.750 0.258 0.346
Li4 0.654 0.403 0.912
Li5 0.509 0.597 0.250
Li6 0.590 0.924 0.858
Li7 0.333 0.267 0.410
Li8 0.088 0.742 0.491
Tl1 0.028 0.344 0.125
Tl2 0.875 0.903 0.220
Tl3 0.780 0.656 0.684
Tl4 0.500 0.000 0.500
Tl5 0.316 0.097 0.972
In1 0.250 0.500 0.750